HgSbO2F (GGA-PBE, optimized geometry); ΔE_f (raw) = -117.1 meV per atom; symmetry = P4/mmm (123); Fermi-level density of states = 3.10 states/eV/cell; calculated volume = 82.0 Å³/f.u.
1.0
4.2777 0.0000 0.0000
0.0000 4.2777 0.0000
0.0000 0.0000 4.4821
O Hg F Sb
2 1 1 1
Direct
0.0000 0.5000 0.0000
0.5000 0.0000 0.0000
0.0000 0.0000 0.0000
0.0000 0.0000 0.5000
0.5000 0.5000 0.5000